This record from Alexandria describes crystalline Tb3Ge3Rh2 at its relaxed geometry. The functional is GGA-PBE.

Summary:
energy relative to the lowest polymorph listed for this composition	39	meV/atom
symmetry	Pnma, No. 62
N(E_F)	21.03	states/eV per cell
energy of formation from the pure elements	-0.912	eV/atom
DFT total energy	-6.217	eV/atom

Cell: 5.703 8.109 14.288 Å, 90.00 90.00 90.00°
Fractional positions:
Ge (0.625, 0.299, 0.037)
Ge (0.625, 0.299, 0.463)
Ge (0.112, 0.168, 0.250)
Ge (0.375, 0.701, 0.537)
Ge (0.125, 0.201, 0.537)
Ge (0.612, 0.332, 0.750)
Ge (0.875, 0.799, 0.037)
Ge (0.888, 0.832, 0.750)
Ge (0.375, 0.701, 0.963)
Ge (0.875, 0.799, 0.463)
Ge (0.388, 0.668, 0.250)
Ge (0.125, 0.201, 0.963)
Tb (0.623, 0.040, 0.888)
Tb (0.623, 0.040, 0.612)
Tb (0.877, 0.540, 0.888)
Tb (0.634, 0.312, 0.250)
Tb (0.134, 0.188, 0.750)
Tb (0.377, 0.960, 0.388)
Tb (0.866, 0.812, 0.250)
Tb (0.877, 0.540, 0.612)
Tb (0.123, 0.460, 0.388)
Tb (0.377, 0.960, 0.112)
Tb (0.366, 0.688, 0.750)
Tb (0.123, 0.460, 0.112)
Rh (0.117, 0.921, 0.901)
Rh (0.383, 0.421, 0.901)
Rh (0.383, 0.421, 0.599)
Rh (0.617, 0.579, 0.099)
Rh (0.883, 0.079, 0.099)
Rh (0.883, 0.079, 0.401)
Rh (0.117, 0.921, 0.599)
Rh (0.617, 0.579, 0.401)